# 1
This record from the Alexandria database describes a relaxed structure of MgSi2As. The functional is GGA-PBE.

Computed properties:
calculated total energy	-4.0934	eV/atom
relative energy among the computed polymorphs	101	meV per atom
density of states at the Fermi level	1.2	states/eV/cell
formation energy from raw total energies	0.179	eV/atom

a = 4.1430 Å, b = 2.9319 Å, c = 6.2975 Å
α = 77.14°, β = 90.00°, γ = 90.00°
With the nearest neighbours (Å) after each atom.
Fractional positions:
As 0.0000 0.3964 0.5728  1 Si 2.54, 4 Mg 2.74
Mg 0.5000 0.8164 0.7414  4 As 2.74, 2 Mg 2.93, 4 Si 2.95-2.96
Si 0.0000 0.1960 0.9871  2 Si 2.45, 1 As 2.54
Si 0.5000 0.0912 0.1987  2 Si 2.45

=====

# 2
This record from the Alexandria database describes a relaxed structure of Mg2SiAs. The functional is GGA-PBE.

Computed properties:
calculated total energy	-3.3727	eV/atom
relative energy among the computed polymorphs	90	meV per atom
density of states at the Fermi level	1.0	states/eV/cell
formation energy from raw total energies	-0.057	eV/atom

a = 4.3858 Å, b = 4.5384 Å, c = 3.7794 Å
α = 90.00°, β = 90.00°, γ = 90.00°
With the nearest neighbours (Å) after each atom.
Fractional positions:
As 0.0000 0.5000 0.5000  8 Mg 2.89-2.95, 4 Si 3.16
Mg 0.0000 0.0000 0.0000  4 Si 2.89, 4 As 2.95, 4 Mg 3.16
Mg 0.5000 0.5000 0.0000  4 As 2.89, 4 Si 2.95, 4 Mg 3.16
Si 0.5000 0.0000 0.5000  8 Mg 2.89-2.95, 4 As 3.16

=====

# 3
This record from the Alexandria database describes a relaxed structure of Mg2SiAs. The functional is GGA-PBE.

Computed properties:
calculated total energy	-3.3054	eV/atom
relative energy among the computed polymorphs	157	meV per atom
density of states at the Fermi level	1.4	states/eV/cell
formation energy from raw total energies	0.010	eV/atom

a = 8.1402 Å, b = 8.1402 Å, c = 8.1402 Å
α = 25.27°, β = 25.27°, γ = 25.27°
With the nearest neighbours (Å) after each atom.
Fractional positions:
As 0.7641 0.7641 0.7641  3 Si 2.44
Mg 0.0090 0.0090 0.0090  3 As 2.93, 3 Mg 3.16
Mg 0.2407 0.2407 0.2407  3 Si 2.92, 3 Mg 3.16
Si 0.4862 0.4862 0.4862  3 As 2.44

=====

# 4
This record from the Alexandria database describes a relaxed structure of MgSiAs. The functional is GGA-PBE.

Computed properties:
calculated total energy	-3.9164	eV/atom
relative energy among the computed polymorphs	0	meV per atom
density of states at the Fermi level	1.1	states/eV/cell
formation energy from raw total energies	-0.027	eV/atom

a = 3.6599 Å, b = 3.6599 Å, c = 5.2671 Å
α = 90.00°, β = 90.00°, γ = 120.00°
With the nearest neighbours (Å) after each atom.
Fractional positions:
As 0.0000 0.0000 0.9554  3 Si 2.48
Mg 0.6667 0.3333 0.3351  3 Si 2.89, 3 As 2.91
Si 0.3333 0.6667 0.7095  3 As 2.48

=====

# 5
This record from the Alexandria database describes a relaxed structure of Mg2SiAs. The functional is GGA-PBE.

Computed properties:
calculated total energy	-3.4006	eV/atom
relative energy among the computed polymorphs	62	meV per atom
density of states at the Fermi level	1.3	states/eV/cell
formation energy from raw total energies	-0.085	eV/atom

a = 5.8706 Å, b = 5.8706 Å, c = 5.8706 Å
α = 144.97°, β = 137.62°, γ = 56.11°
With the nearest neighbours (Å) after each atom.
Fractional positions:
As 0.2897 0.7897 0.5000  2 Si 2.59, 4 Mg 2.84
Mg 0.0101 0.0101 0.0000  4 Si 2.79, 2 Mg 3.09, 2 As 3.12
Mg 0.7270 0.2270 0.5000  4 As 2.84, 2 Mg 3.09, 2 Si 3.17
Si 0.4731 0.4731 0.0000  2 As 2.59, 4 Mg 2.79

=====

# 6
This record from the Alexandria database describes a relaxed structure of MgSi2As2. The functional is GGA-PBE.

Computed properties:
calculated total energy	-4.1757	eV/atom
density of states at the Fermi level	2.1	states/eV/cell
formation energy from raw total energies	0.172	eV/atom

a = 3.5634 Å, b = 3.5634 Å, c = 7.7750 Å
α = 76.75°, β = 76.75°, γ = 90.00°
With the nearest neighbours (Å) after each atom.
Fractional positions:
Mg 0.0000 0.0000 0.0000  8 As 2.88
As 0.4048 0.4048 0.1905  1 As 2.80, 4 Mg 2.88, 4 Si 2.89
As 0.5952 0.5952 0.8095  1 As 2.80, 4 Mg 2.88, 4 Si 2.89
Si 0.7500 0.2500 0.5000  4 Si 2.52
Si 0.2500 0.7500 0.5000  4 Si 2.52

=====

# 7
This record from the Alexandria database describes a relaxed structure of Mg2SiAs. The functional is GGA-PBE.

Computed properties:
calculated total energy	-3.2489	eV/atom
relative energy among the computed polymorphs	213	meV per atom
density of states at the Fermi level	2.0	states/eV/cell
formation energy from raw total energies	0.067	eV/atom

a = 3.4008 Å, b = 3.4008 Å, c = 6.8559 Å
α = 90.00°, β = 90.00°, γ = 89.99°
With the nearest neighbours (Å) after each atom.
Fractional positions:
As 0.5000 0.5000 0.7032  4 Si 2.65, 1 Mg 2.87
Mg 0.0000 0.0000 0.9711  1 Si 2.94, 4 As 3.03, 4 Mg 3.22
Mg 0.5000 0.5000 0.2839  1 As 2.87, 4 Si 2.98
Si 0.0000 0.0000 0.5418  4 As 2.65, 1 Mg 2.94

=====

# 8
This record from the Alexandria database describes a relaxed structure of MgSiAs. The functional is GGA-PBE.

Computed properties:
calculated total energy	-3.7636	eV/atom
relative energy among the computed polymorphs	153	meV per atom
density of states at the Fermi level	1.6	states/eV/cell
formation energy from raw total energies	0.125	eV/atom

a = 4.6734 Å, b = 4.6734 Å, c = 2.9094 Å
α = 90.00°, β = 90.00°, γ = 120.00°
With the nearest neighbours (Å) after each atom.
Fractional positions:
As 0.0000 0.0000 0.8332  3 Si 2.70, 2 As 2.91
Mg 0.6667 0.3333 0.3339  2 Mg 2.91, 6 Si 3.06-3.07, 6 As 3.06-3.07
Si 0.3333 0.6667 0.8328  3 As 2.70, 2 Si 2.91